(1)
# MnSi2TcPd

A relaxed structure of MnSi2TcPd (GGA-PBE, Alexandria via LeMat-Bulk).

Cell lengths 4.2604, 4.2604, 4.7466 Å; angles 90.00, 90.00, 90.00 degrees
Fractional positions:
Mn  0.0000  0.0000  0.0000
Si  0.0000  0.5000  0.0000
Si  0.5000  0.0000  0.0000
Tc  0.5000  0.5000  0.5000
Pd  0.0000  0.0000  0.5000

Computed properties:
- formation energy (no corrections) (eV per atom) = 0.8828
- N(E_F) (states/eV per atom) = 0.925
- spin magnetization (μB per formula unit) = 4.61

(2)
# MnSiTcPd

A relaxed structure of MnSiTcPd (GGA-PBE, Alexandria via LeMat-Bulk).

Cell lengths 4.2624, 4.2624, 4.2624 Å; angles 60.00, 60.00, 60.00 degrees
Fractional positions:
Mn  0.0000  0.0000  0.0000
Si  0.5000  0.5000  0.5000
Tc  0.2500  0.2500  0.2500
Pd  0.7500  0.7500  0.7500

Computed properties:
- formation energy (no corrections) (eV per atom) = -0.2856
- N(E_F) (states/eV per atom) = 0.612
- spin magnetization (μB per formula unit) = 3.86

(3)
# MnSiTePd2

A relaxed structure of MnSiTePd2 (GGA-PBE, Alexandria via LeMat-Bulk).

Cell lengths 4.7805, 4.7805, 4.8371 Å; angles 90.00, 90.00, 90.00 degrees
Fractional positions:
Mn  0.0000  0.0000  0.0000
Si  0.5000  0.5000  0.5000
Te  0.0000  0.0000  0.5000
Pd  0.0000  0.5000  0.0000
Pd  0.5000  0.0000  0.0000

Computed properties:
- formation energy (no corrections) (eV per atom) = 0.7298
- N(E_F) (states/eV per atom) = 0.321
- spin magnetization (μB per formula unit) = 3.84

(4)
# TiMnSiPd2

A relaxed structure of TiMnSiPd2 (GGA-PBE, Alexandria via LeMat-Bulk).

Cell lengths 4.5499, 4.5499, 4.6465 Å; angles 90.00, 90.00, 90.00 degrees
Fractional positions:
Ti  0.0000  0.0000  0.0000
Mn  0.5000  0.5000  0.5000
Si  0.0000  0.0000  0.5000
Pd  0.0000  0.5000  0.0000
Pd  0.5000  0.0000  0.0000

Computed properties:
- formation energy (no corrections) (eV per atom) = 1.1364
- N(E_F) (states/eV per atom) = 1.069
- spin magnetization (μB per formula unit) = 0.00

(5)
# MnZnSiPd2

A relaxed structure of MnZnSiPd2 (GGA-PBE, Alexandria via LeMat-Bulk).

Cell lengths 4.5986, 4.5986, 4.5687 Å; angles 90.00, 90.00, 90.00 degrees
Fractional positions:
Mn  0.0000  0.0000  0.0000
Zn  0.0000  0.0000  0.5000
Si  0.5000  0.5000  0.0000
Pd  0.0000  0.5000  0.5000
Pd  0.5000  0.0000  0.5000

Computed properties:
- formation energy (no corrections) (eV per atom) = 0.7352
- N(E_F) (states/eV per atom) = 0.646
- spin magnetization (μB per formula unit) = 4.11

(6)
# ZrMnSi2Pd

A relaxed structure of ZrMnSi2Pd (GGA-PBE, Alexandria via LeMat-Bulk).

Cell lengths 4.2953, 4.2953, 4.7659 Å; angles 90.00, 90.00, 90.00 degrees
Fractional positions:
Zr  0.0000  0.0000  0.0000
Mn  0.5000  0.5000  0.5000
Si  0.0000  0.5000  0.5000
Si  0.5000  0.0000  0.5000
Pd  0.5000  0.5000  0.0000

Computed properties:
- formation energy (no corrections) (eV per atom) = 0.1962
- N(E_F) (states/eV per atom) = 0.898
- spin magnetization (μB per formula unit) = 1.72

(7)
# SmMnPd2

A relaxed structure of SmMnPd2 (GGA-PBE, Alexandria via LeMat-Bulk).

Cell lengths 4.7794, 4.7794, 4.7794 Å; angles 60.00, 60.00, 60.00 degrees
Fractional positions:
Sm  0.0000  0.0000  0.0000
Mn  0.5000  0.5000  0.5000
Pd  0.2500  0.2500  0.2500
Pd  0.7500  0.7500  0.7500

Computed properties:
- N(E_F) (states/eV per atom) = 0.807
- E (eV/f.u.) = -26.0
- spin magnetization (μB per formula unit) = 4.51

(8)
# SmMn2Pd9

A relaxed structure of SmMn2Pd9 (GGA-PBE, Alexandria via LeMat-Bulk).

Cell lengths 4.0397, 4.0397, 11.8554 Å; angles 90.00, 90.00, 90.00 degrees
Fractional positions:
Sm  0.0000  0.0000  0.0000
Mn  0.0000  0.0000  0.3426
Mn  0.0000  0.0000  0.6574
Pd  0.0000  0.5000  0.1824
Pd  0.0000  0.5000  0.5000
Pd  0.0000  0.5000  0.8176
Pd  0.5000  0.0000  0.1824
Pd  0.5000  0.0000  0.5000
Pd  0.5000  0.0000  0.8176
Pd  0.5000  0.5000  0.0000
Pd  0.5000  0.5000  0.3404
Pd  0.5000  0.5000  0.6596

Computed properties:
- N(E_F) (states/eV per atom) = 0.985
- E (eV/f.u.) = -74.6
- spin magnetization (μB per formula unit) = 8.61

(9)
# SmMnPd2

A relaxed structure of SmMnPd2 (GGA-PBE, Alexandria via LeMat-Bulk).

Cell lengths 4.3683, 4.3683, 3.8870 Å; angles 90.00, 90.00, 90.00 degrees
Fractional positions:
Sm  0.0000  0.0000  0.0000
Mn  0.5000  0.5000  0.0000
Pd  0.0000  0.5000  0.5000
Pd  0.5000  0.0000  0.5000

Computed properties:
- N(E_F) (states/eV per atom) = 0.677
- E (eV/f.u.) = -26.0
- spin magnetization (μB per formula unit) = 3.70

(10)
# SmMnPd2

A relaxed structure of SmMnPd2 (GGA-PBE, Alexandria via LeMat-Bulk).

Cell lengths 3.3739, 3.3739, 6.6529 Å; angles 90.00, 90.00, 90.00 degrees
Fractional positions:
Sm  0.0000  0.0000  0.0000
Mn  0.0000  0.0000  0.5000
Pd  0.5000  0.5000  0.2852
Pd  0.5000  0.5000  0.7148

Computed properties:
- N(E_F) (states/eV per atom) = 0.363
- E (eV/f.u.) = -26.0
- spin magnetization (μB per formula unit) = 4.58

(11)
# Mn5SnPd6

A relaxed structure of Mn5SnPd6 (GGA-PBE, Alexandria via LeMat-Bulk).

Cell lengths 4.4821, 6.2406, 7.0598 Å; angles 90.00, 107.57, 90.00 degrees
Fractional positions:
Mn  0.0000  0.0000  0.0000
Mn  0.3319  0.0000  0.6646
Mn  0.3318  0.5000  0.6640
Mn  0.6681  0.0000  0.3354
Mn  0.6682  0.5000  0.3360
Sn  0.0000  0.5000  0.0000
Pd  0.1698  0.2475  0.3386
Pd  0.1698  0.7525  0.3386
Pd  0.5000  0.2400  0.0000
Pd  0.5000  0.7600  0.0000
Pd  0.8302  0.2475  0.6614
Pd  0.8302  0.7525  0.6614

Computed properties:
- N(E_F) (states/eV per atom) = 0.517
- E (eV/f.u.) = -84.0
- spin magnetization (μB per formula unit) = 21.96

(12)
# Mn2SnPd4

A relaxed structure of Mn2SnPd4 (GGA-PBE, Alexandria via LeMat-Bulk).

Cell lengths 4.4619, 4.4619, 13.2994 Å; angles 90.00, 90.00, 119.92 degrees
Fractional positions:
Mn  0.1665  0.8335  0.5582
Mn  0.1665  0.8335  0.9418
Mn  0.8335  0.1665  0.0582
Mn  0.8335  0.1665  0.4418
Sn  0.4994  0.5006  0.7500
Sn  0.5006  0.4994  0.2500
Pd  0.1658  0.8342  0.7500
Pd  0.1674  0.8326  0.1367
Pd  0.1674  0.8326  0.3633
Pd  0.5000  0.5000  0.0000
Pd  0.5000  0.5000  0.5000
Pd  0.8326  0.1674  0.6367
Pd  0.8326  0.1674  0.8633
Pd  0.8342  0.1658  0.2500

Computed properties:
- N(E_F) (states/eV per atom) = 0.299
- E (eV/f.u.) = -45.0
- spin magnetization (μB per formula unit) = 8.66